# 1
Crystalline PaNbAlRu at its relaxed geometry, computed with GGA-PBE.

Cell lengths 6.605, 6.605, 6.605 Å; angles 90.00, 90.00, 90.00 degrees
Space group F-43m (No. 216)
Symmetry-distinct sites (fractional):
Pa  0.000  0.000  0.000
Nb  0.250  0.250  0.750
Al  0.000  0.000  0.500
Ru  0.250  0.250  0.250

Values from the calculation:
The value obtained for the formation energy is -279 meV per atom. As for the density of states at the Fermi level: 20.34 states/eV/cell. The value obtained for the total energy is -134.79 eV/cell.


# 2
Crystalline LiPuSi2 at its relaxed geometry, computed with GGA-PBE.

Cell lengths 13.400, 4.049, 10.848 Å; angles 90.00, 90.00, 90.00 degrees
Space group Pnma (No. 62)
Symmetry-distinct sites (fractional):
Li  0.059  0.250  0.043
Li  0.185  0.750  0.152
Pu  0.059  0.250  0.732
Pu  0.196  0.750  0.452
Si  0.031  0.250  0.461
Si  0.105  0.250  0.268
Si  0.135  0.750  0.927
Si  0.220  0.750  0.740

Values from the calculation:
The excess energy over the best structure of this formula in the dataset is 0 meV/atom. As for the density of states at the Fermi level: 88.05 states/eV/cell. The value obtained for the formation energy (no corrections) is -0.362 eV/atom. The value obtained for the total energy is -228.32 eV/cell.